A relaxed MnAsP2 crystal. Source: the Alexandria database, functional GGA-PBE.

Computed properties:
uncorrected energy = -24.36 eV per formula unit
magnetization = 0.000 μB/atom
DFT formation energy = 0.069 eV per atom
DOS at the Fermi energy = 0.74 states/eV/atom

Cell lengths 8.1936, 8.1936, 8.1936 Å; angles 20.31, 20.31, 20.31 degrees
With the nearest neighbours (Å) after each atom.
Fractional coordinates of all 4 atoms:
As 0.7500 0.7500 0.7500  6 As 2.89, 6 P 2.94
Mn 0.2500 0.2500 0.2500  6 P 2.31
P 0.9828 0.9828 0.9828  3 Mn 2.31
P 0.5172 0.5172 0.5172  3 Mn 2.31